{"formula": "SmDyZnSi", "functional": "GGA-PBE", "state": "optimized geometry", "magmom_total_mub_per_cell": 0.3, "n_ef_per_ev_fu": 4.22, "space_group": "No. 38", "raw_formation_energy_ev_per_fu": -2.20, "e_tot_ev_per_atom": -4.553, "lattice": [[-0.3174, 4.2072, 0.0659], [-2.8169, -0.1663, -2.9454], [-3.7941, -2.4613, 3.7676]], "species": ["Sm", "Si", "Dy", "Zn"], "fractional_positions": [[0.1449, 0.0000, 0.2898], [0.4270, 0.0000, 0.8540], [0.8605, 0.5000, 0.7211], [0.5676, 0.5000, 0.1351]]}